LiN2ClF | the Alexandria database | GGA-PBE | optimized geometry; raw formation energy = 1.223 eV per atom; energy above the lowest structure with this stoichiometry = 13.0 kJ/mol of atoms; final energy = -16.17 eV per cell; mass density = 1.934 g/cm3; volume = 76.77 Å³/cell; space group = P4/mmm
1.0
-4.434 1.585 -0.399
-0.153 -1.553 -4.461
-1.184 -3.035 1.097
Li N F Cl
1 2 1 1
direct
0.000 0.000 0.000 Li
0.000 0.500 0.000 N
0.500 0.000 0.000 N
0.000 0.000 0.500 F
0.500 0.500 0.500 Cl